DFT (PBE-GGA) results for a relaxed structure of ZrIn2Cu.

Calculated values
- Calculated total energy: -18.3 eV per cell

abc: 3.149 4.612 5.784
angles: 90.00 90.00 90.00
Space group Pmm2 (No. 25)
Unique sites:
Zr1 0.000 0.000 0.000 [1 per cell]
In1 0.500 0.000 0.535 [1 per cell]
In2 0.500 0.500 0.232 [1 per cell]
Cu1 0.500 0.500 0.775 [1 per cell]

***

DFT (PBE-GGA) results for a relaxed structure of Zr12In3Cu.

Calculated values
- Calculated total energy: -117.7 eV per cell

abc: 4.453 4.453 17.681
angles: 90.00 90.00 90.00
Space group P4/mmm (No. 123)
Unique sites:
Zr1 0.000 0.000 0.000 [1 per cell]
Zr2 0.000 0.000 0.245 [2 per cell]
Zr3 0.000 0.000 0.500 [1 per cell]
Zr4 0.000 0.500 0.117 [4 per cell]
Zr5 0.000 0.500 0.373 [4 per cell]
In1 0.500 0.500 0.245 [2 per cell]
In2 0.500 0.500 0.500 [1 per cell]
Cu1 0.500 0.500 0.000 [1 per cell]

***

DFT (PBE-GGA) results for a relaxed structure of Cu3Ir.

Calculated values
- Calculated total energy: -84.0 eV per cell

abc: 4.582 8.574 5.206
angles: 90.00 90.00 90.00
Space group Pnma (No. 62)
Unique sites:
Cu1 0.078 0.250 0.139 [4 per cell]
Cu2 0.246 0.004 0.381 [8 per cell]
Ir1 0.077 0.250 0.641 [4 per cell]

***

DFT (PBE-GGA) results for a relaxed structure of Cu5Ir.

Calculated values
- Calculated total energy: -29.0 eV per cell

abc: 2.595 5.262 5.793
angles: 103.12 102.88 90.53
Space group P-1 (No. 2)
Unique sites:
Cu1 0.000 0.000 0.000 [1 per cell]
Cu2 0.330 0.162 0.662 [2 per cell]
Cu3 0.332 0.671 0.664 [2 per cell]
Ir1 0.000 0.500 0.000 [1 per cell]

***

DFT (PBE-GGA) results for a relaxed structure of Cu3Ir.

Calculated values
- Calculated total energy: -41.2 eV per cell

abc: 3.726 3.726 7.326
angles: 90.00 90.00 90.00
Space group I4/mmm (No. 139)
Unique sites:
Cu1 0.000 0.000 0.000 [2 per cell]
Cu2 0.000 0.500 0.250 [4 per cell]
Ir1 0.000 0.000 0.500 [2 per cell]

***

DFT (PBE-GGA) results for a relaxed structure of Cu5Ir.

Calculated values
- Calculated total energy: -57.9 eV per cell

abc: 4.295 2.606 13.441
angles: 90.00 90.00 90.00
Space group Amm2 (No. 38)
Unique sites:
Cu1 0.000 0.000 0.000 [2 per cell]
Cu2 0.000 0.000 0.331 [2 per cell]
Cu3 0.000 0.000 0.668 [2 per cell]
Cu4 0.500 0.000 0.118 [2 per cell]
Cu5 0.500 0.000 0.779 [2 per cell]
Ir1 0.500 0.000 0.450 [2 per cell]